(1)
12
Lattice="4.557 0.000 0.000 2.278 3.946 0.000 2.278 1.315 7.454" Properties=species:S:1:pos:R:3 comment="Be8Nb3V, optimized geometry, DFT PBE-GGA" dft_energy_ev_per_atom=-5.963 spacegroup="No. 160" ef_mev_per_atom=-201 mass_density_kg_m3=4977 pbc="T T T"
Be 5.699 1.972 1.425
Be 5.702 4.601 5.096
Be 3.415 1.972 1.425
Be 7.969 4.601 5.096
Be 2.278 1.315 3.251
Be 6.835 3.946 6.990
Be 4.557 3.950 1.425
Be 6.835 2.638 5.096
Nb 4.557 2.631 6.520
Nb 6.835 3.946 0.050
Nb 4.557 2.631 3.690
V 6.835 3.946 2.795

=====

(2)
19
Lattice="5.478 0.015 0.663 0.589 5.447 0.663 0.016 0.015 5.518" Properties=species:S:1:pos:R:3 comment="Be17NbV, optimized geometry, DFT PBE-GGA" dft_energy_ev_per_atom=-4.515 spacegroup="No. 160" ef_mev_per_atom=-171 mass_density_kg_m3=2999 pbc="T T T"
Be 1.635 0.030 4.066
Be 4.014 1.623 0.677
Be 0.434 3.822 2.100
Be 2.035 3.822 0.677
Be 0.202 1.623 4.066
Be 3.846 0.030 2.100
Be 2.401 4.593 2.700
Be 2.117 1.906 5.103
Be 4.820 1.906 2.700
Be 3.672 0.911 4.131
Be 3.951 3.557 1.766
Be 1.291 3.557 4.131
Be 5.780 2.756 6.501
Be 6.065 5.459 4.085
Be 3.347 5.459 6.501
Be 5.487 4.939 6.173
Be 0.617 0.555 0.694
Nb 4.020 3.618 4.522
V 2.061 1.855 2.318